(1)
Compound: K5Rb4Na
Source: the Alexandria database
Functional: PBE
Structure: relaxed

## Properties
Energy above the most stable polymorph in this dataset (meV/atom): 20
Total DFT energy (no corrections) (eV/atom): -1.0374
Energy of formation from the pure elements (eV per atom): 0.030

Geometry as POSCAR:
```
K5Rb4Na
1.0
-7.0356 7.0356 3.9201
7.0356 -7.0356 3.9201
7.0356 7.0356 -3.9201
K Rb Na
5 4 1
direct
0.0000 0.0000 0.0000
0.4964 0.8548 0.9989
0.4975 0.4964 0.6416
0.8548 0.8558 0.3584
0.8558 0.4975 0.0011
0.1984 0.5147 0.3171
0.1976 0.8813 0.6829
0.5147 0.1976 0.3163
0.8813 0.1984 0.6837
0.4662 0.4662 0.0000
```

=====

(2)
Compound: K17Rb11Na
Source: the Alexandria database
Functional: PBE
Structure: relaxed

## Properties
Total DFT energy (no corrections) (eV/atom): -1.0331
Energy of formation from the pure elements (eV per atom): 0.023

Geometry as POSCAR:
```
K17Rb11Na
1.0
8.3087 -11.9295 0.0000
8.3087 11.9295 0.0000
-7.7267 0.0000 11.4598
K Rb Na
17 11 1
direct
0.0000 0.0000 0.0000
0.2506 0.5617 0.5814
0.2851 0.2851 0.7066
0.3075 0.7006 0.3238
0.3434 0.3434 0.3628
0.3890 0.6542 0.9737
0.3895 0.9793 0.6720
0.5617 0.2506 0.5814
0.5886 0.5886 0.2823
0.6093 0.9936 0.0052
0.6542 0.3890 0.9737
0.6575 0.9587 0.3871
0.7006 0.3075 0.3238
0.9587 0.6575 0.3871
0.9731 0.9731 0.6303
0.9793 0.3895 0.6720
0.9936 0.6093 0.0052
0.1529 0.9635 0.3617
0.1599 0.7865 0.7890
0.1779 0.3646 0.0000
0.3589 0.9679 0.1860
0.3646 0.1779 0.0000
0.6048 0.7894 0.6569
0.7630 0.7630 0.0963
0.7865 0.1599 0.7890
0.7894 0.6048 0.6569
0.9635 0.1529 0.3617
0.9679 0.3589 0.1860
0.5349 0.5349 0.7503
```

=====

(3)
Compound: KRb8Na2
Source: the Alexandria database
Functional: PBE
Structure: relaxed

## Properties
Energy above the most stable polymorph in this dataset (meV/atom): 15
Total DFT energy (no corrections) (eV/atom): -1.0055
Energy of formation from the pure elements (eV per atom): 0.038

Geometry as POSCAR:
```
KRb8Na2
1.0
6.2636 -9.4574 0.0000
6.2636 9.4574 0.0000
-2.3434 0.0000 7.5565
K Rb Na
1 8 2
direct
0.0000 0.0000 0.0000
0.0723 0.3240 0.5942
0.2431 0.7569 0.0000
0.3240 0.0723 0.5942
0.3853 0.3853 0.1865
0.6147 0.6147 0.8135
0.6760 0.9277 0.4058
0.7569 0.2431 0.0000
0.9277 0.6760 0.4058
0.3172 0.6828 0.5000
0.6828 0.3172 0.5000
```

=====

(4)
Compound: KRb12Na3
Source: the Alexandria database
Functional: PBE
Structure: relaxed

## Properties
Total DFT energy (no corrections) (eV/atom): -1.0137
Energy of formation from the pure elements (eV per atom): 0.028

Geometry as POSCAR:
```
KRb12Na3
1.0
6.8636 0.0000 0.0000
0.0000 6.8636 0.0000
0.0000 0.0000 26.5120
K Rb Na
1 12 3
direct
0.0000 0.0000 0.0000
0.0000 0.5000 0.1367
0.0000 0.5000 0.3790
0.0000 0.5000 0.6210
0.0000 0.5000 0.8633
0.5000 0.0000 0.1367
0.5000 0.0000 0.3790
0.5000 0.0000 0.6210
0.5000 0.0000 0.8633
0.5000 0.5000 0.0000
0.5000 0.5000 0.2581
0.5000 0.5000 0.5000
0.5000 0.5000 0.7419
0.0000 0.0000 0.2569
0.0000 0.0000 0.5000
0.0000 0.0000 0.7431
```

=====

(5)
Compound: K2Rb2Na
Source: the Alexandria database
Functional: PBE
Structure: relaxed

## Properties
Energy above the most stable polymorph in this dataset (meV/atom): 112
Total DFT energy (no corrections) (eV/atom): -0.9463
Energy of formation from the pure elements (eV per atom): 0.143

Geometry as POSCAR:
```
K2Rb2Na
1.0
5.9401 0.0000 0.0000
0.0000 5.9401 0.0000
0.0000 0.0000 22.8040
K Rb Na
4 4 2
direct
0.0000 0.0000 0.0878
0.0000 0.0000 0.9122
0.5000 0.5000 0.4122
0.5000 0.5000 0.5878
0.0000 0.5000 0.2500
0.0000 0.5000 0.7500
0.5000 0.0000 0.2500
0.5000 0.0000 0.7500
0.0000 0.0000 0.5000
0.5000 0.5000 0.0000
```

=====

(6)
Compound: K15RbNa4
Source: the Alexandria database
Functional: PBE
Structure: relaxed

## Properties
Total DFT energy (no corrections) (eV/atom): -1.1195
Energy of formation from the pure elements (eV per atom): 0.016

Geometry as POSCAR:
```
K15RbNa4
1.0
6.5113 0.0000 0.0000
0.0000 6.5113 0.0000
0.0000 0.0000 30.6469
K Rb Na
15 1 4
direct
0.0000 0.0000 0.0000
0.0000 0.0000 0.2103
0.0000 0.0000 0.4035
0.0000 0.0000 0.5965
0.0000 0.0000 0.7897
0.0000 0.5000 0.1142
0.0000 0.5000 0.3069
0.0000 0.5000 0.5000
0.0000 0.5000 0.6931
0.0000 0.5000 0.8858
0.5000 0.0000 0.1142
0.5000 0.0000 0.3069
0.5000 0.0000 0.5000
0.5000 0.0000 0.6931
0.5000 0.0000 0.8858
0.5000 0.5000 0.0000
0.5000 0.5000 0.2099
0.5000 0.5000 0.4031
0.5000 0.5000 0.5969
0.5000 0.5000 0.7901
```

=====

(7)
Compound: K12RbNa6
Source: the Alexandria database
Functional: PBE
Structure: relaxed

## Properties
Total DFT energy (no corrections) (eV/atom): -1.1279
Energy of formation from the pure elements (eV per atom): 0.033

Geometry as POSCAR:
```
K12RbNa6
1.0
7.2799 4.2031 6.3632
-7.2799 4.2031 6.3632
0.0000 -8.4061 6.3632
K Rb Na
12 1 6
direct
0.0300 0.3046 0.9244
0.0756 0.9700 0.6954
0.1143 0.3417 0.4685
0.3046 0.9244 0.0300
0.3417 0.4685 0.1143
0.4685 0.1143 0.3417
0.5315 0.8857 0.6583
0.6583 0.5315 0.8857
0.6954 0.0756 0.9700
0.8857 0.6583 0.5315
0.9244 0.0300 0.3046
0.9700 0.6954 0.0756
0.5000 0.5000 0.5000
0.2275 0.6106 0.7593
0.2407 0.7725 0.3894
0.3894 0.2407 0.7725
0.6106 0.7593 0.2275
0.7593 0.2275 0.6106
0.7725 0.3894 0.2407
```

=====

(8)
Compound: K2Rb6Na3
Source: the Alexandria database
Functional: PBE
Structure: relaxed

## Properties
Total DFT energy (no corrections) (eV/atom): -1.0352
Energy of formation from the pure elements (eV per atom): 0.052

Geometry as POSCAR:
```
K2Rb6Na3
1.0
3.7262 -7.7745 0.0000
3.7262 7.7745 0.0000
-0.1235 0.0000 13.8033
K Rb Na
2 6 3
direct
0.1334 0.8666 0.0000
0.8666 0.1334 0.0000
0.0039 0.0039 0.3393
0.3459 0.6472 0.7825
0.3528 0.6541 0.2175
0.6472 0.3459 0.7825
0.6541 0.3528 0.2175
0.9961 0.9961 0.6607
0.2541 0.7459 0.5000
0.5000 0.5000 0.5000
0.7459 0.2541 0.5000
```

=====

(9)
Compound: K4Rb10Na
Source: the Alexandria database
Functional: PBE
Structure: relaxed

## Properties
Total DFT energy (no corrections) (eV/atom): -0.9203
Energy of formation from the pure elements (eV per atom): 0.105

Geometry as POSCAR:
```
K4Rb10Na
1.0
-8.3122 8.3122 5.1985
8.3122 -8.3122 5.1985
8.3122 8.3122 -5.1985
K Rb Na
4 10 1
direct
0.1014 0.7022 0.8035
0.2978 0.1014 0.3992
0.7022 0.8986 0.6008
0.8986 0.2978 0.1965
0.0720 0.3571 0.9052
0.1669 0.0720 0.7150
0.2500 0.7500 0.5000
0.3571 0.4519 0.2850
0.4519 0.1669 0.0948
0.5481 0.8331 0.9052
0.6429 0.5481 0.7150
0.7500 0.2500 0.5000
0.8331 0.9280 0.2850
0.9280 0.6429 0.0948
0.5000 0.5000 0.0000
```

=====

(10)
Compound: K6RbNa4
Source: the Alexandria database
Functional: PBE
Structure: relaxed

## Properties
Energy above the most stable polymorph in this dataset (meV/atom): 16
Total DFT energy (no corrections) (eV/atom): -1.1259
Energy of formation from the pure elements (eV per atom): 0.040

Geometry as POSCAR:
```
K6RbNa4
1.0
-4.8555 4.8555 7.5515
4.8555 -4.8555 7.5515
4.8555 4.8555 -7.5515
K Rb Na
6 1 4
direct
0.0000 0.5000 0.5000
0.0163 0.0163 0.5981
0.4181 0.4181 0.4019
0.5000 0.0000 0.5000
0.5819 0.9837 0.0000
0.9837 0.5819 0.0000
0.5000 0.5000 0.0000
0.0733 0.0733 0.2852
0.2119 0.9267 0.0000
0.7881 0.7881 0.7148
0.9267 0.2119 0.0000
```

=====

(11)
Compound: KRb3Na6
Source: the Alexandria database
Functional: PBE
Structure: relaxed

## Properties
Energy above the most stable polymorph in this dataset (meV/atom): 0
Total DFT energy (no corrections) (eV/atom): -1.1480
Energy of formation from the pure elements (eV per atom): 0.043

Geometry as POSCAR:
```
KRb3Na6
1.0
7.8060 4.5068 2.7129
-7.8060 4.5068 2.7129
0.0000 -9.0136 2.7129
K Rb Na
1 3 6
direct
0.0000 0.0000 0.0000
0.4250 0.9164 0.9164
0.9164 0.4250 0.9164
0.9164 0.9164 0.4250
0.0020 0.3997 0.3997
0.3997 0.0020 0.3997
0.3997 0.3997 0.0020
0.4326 0.4326 0.6592
0.4326 0.6592 0.4326
0.6592 0.4326 0.4326
```

=====

(12)
Compound: K2Rb3Na6
Source: the Alexandria database
Functional: PBE
Structure: relaxed

## Properties
Total DFT energy (no corrections) (eV/atom): -1.1216
Energy of formation from the pure elements (eV per atom): 0.061

Geometry as POSCAR:
```
K2Rb3Na6
1.0
-2.3764 2.3764 29.0131
2.3764 -2.3764 29.0131
2.3764 2.3764 -29.0131
K Rb Na
2 3 6
direct
0.1236 0.1236 0.0000
0.8764 0.8764 0.0000
0.3129 0.3129 0.0000
0.5000 0.5000 0.0000
0.6871 0.6871 0.0000
0.0637 0.5637 0.5000
0.2370 0.2370 0.0000
0.4363 0.9363 0.5000
0.5637 0.0637 0.5000
0.7630 0.7630 0.0000
0.9363 0.4363 0.5000
```